Ac4AgHg2 | PBE | relaxed

a = 7.9653 Å, b = 7.9653 Å, c = 7.9801 Å
α = 90.00°, β = 90.00°, γ = 90.00°
Closest atoms and distances in Å follow each position.
Space group I4/mmm (No. 139)
Unique sites:
Ac1 0.2500 0.2500 0.2500 x8  4 Hg 3.45, 2 Ag 3.45
Ag1 0.0000 0.0000 0.0000 x2  8 Ac 3.45
Hg1 0.0000 0.5000 0.0000 x4  8 Ac 3.45

Output
total moment = 0.152 μB per formula unit
Fermi-level density of states = 1.304 states/eV per atom
E_form = -0.271 eV per atom


AcAg2Hg | PBE | relaxed

a = 4.8698 Å, b = 4.8698 Å, c = 4.5561 Å
α = 90.00°, β = 90.00°, γ = 90.00°
Closest atoms and distances in Å follow each position.
Space group P4/mmm (No. 123)
Unique sites:
Ac1 0.0000 0.0000 0.0000 x1  8 Ag 3.33, 4 Hg 3.44
Ag1 0.0000 0.5000 0.5000 x2  4 Hg 3.33, 4 Ac 3.33, 4 Ag 3.44
Hg1 0.5000 0.5000 0.0000 x1  8 Ag 3.33, 4 Ac 3.44

Output
total moment = 0.000 μB per formula unit
Fermi-level density of states = 0.460 states/eV per atom
E_form = -0.124 eV per atom


Ac2AgHg | PBE | relaxed

a = 4.4113 Å, b = 4.4113 Å, c = 25.7715 Å
α = 90.00°, β = 90.00°, γ = 120.00°
Closest atoms and distances in Å follow each position.
Space group R3m (No. 160, hexagonal axes)
Unique sites:
Ac1 0.0000 0.0000 0.0000 x3  3 Ag 3.25, 3 Hg 3.41
Ac2 0.0000 0.0000 0.1751 x3  3 Ag 3.27, 3 Hg 3.40
Ag1 0.0000 0.0000 0.5881 x3  6 Ac 3.25-3.27
Hg1 0.0000 0.0000 0.7546 x3  6 Ac 3.40-3.41

Output
total moment = 0.000 μB per formula unit
Fermi-level density of states = 1.372 states/eV per atom
E_form = -0.214 eV per atom
offset from the most stable computed form = 61 kJ/mol of formula units


AcAgHg4 | PBE | relaxed

a = 8.6083 Å, b = 8.6083 Å, c = 8.6083 Å
α = 90.00°, β = 90.00°, γ = 90.00°
Closest atoms and distances in Å follow each position.
Space group F-43m (No. 216)
Unique sites:
Ac1 0.0000 0.0000 0.0000 x4  12 Hg 3.57, 4 Ag 3.73
Ag1 0.2500 0.2500 0.7500 x4  12 Hg 3.57, 4 Ac 3.73
Hg1 0.1242 0.1242 0.3758 x16  6 Hg 3.02-3.06

Output
total moment = 0.000 μB per formula unit
Fermi-level density of states = 1.010 states/eV per atom
E_form = -0.110 eV per atom
offset from the most stable computed form = 75 kJ/mol of formula units


Ac2Ag5Hg | PBE | relaxed

a = 6.3478 Å, b = 6.3478 Å, c = 10.6127 Å
α = 90.00°, β = 90.00°, γ = 90.00°
Closest atoms and distances in Å follow each position.
Space group I4mm (No. 107)
Unique sites:
Ac1 0.0000 0.5000 0.0000 x4  10 Ag 3.35-3.52, 2 Hg 3.37
Ag1 0.0000 0.0000 0.1020 x2  4 Ag 2.93, 1 Hg 3.08
Ag2 0.2217 0.2217 0.7461 x8  3 Ag 2.81-2.93, 1 Hg 2.94
Hg1 0.0000 0.0000 0.3922 x2  5 Ag 2.94-3.08

Output
total moment = 0.000 μB per formula unit
Fermi-level density of states = 0.506 states/eV per atom
E_form = -0.126 eV per atom
offset from the most stable computed form = 97 kJ/mol of formula units


AcAg3Hg | PBE | relaxed

a = 8.2532 Å, b = 6.7402 Å, c = 5.3432 Å
α = 90.00°, β = 124.62°, γ = 90.00°
Closest atoms and distances in Å follow each position.
Space group Cm (No. 8)
Unique sites:
Ac1 0.0000 0.0000 0.0000 x2  12 Ag 3.32-3.68, 4 Hg 3.38-3.63
Ag1 0.2019 0.5000 0.2466 x2  1 Hg 2.76, 4 Ag 2.85-2.99
Ag2 0.4992 0.2021 0.4942 x4  3 Ag 2.72-2.99, 2 Hg 2.90-3.04
Hg1 0.3078 0.0000 0.7726 x2  5 Ag 2.76-3.04

Output
total moment = 0.000 μB per formula unit
Fermi-level density of states = 0.523 states/eV per atom
E_form = -0.220 eV per atom
offset from the most stable computed form = 0 kJ/mol of formula units


What did the sixth record say?
AcAg3Hg | PBE | relaxed

a = 8.2532 Å, b = 6.7402 Å, c = 5.3432 Å
α = 90.00°, β = 124.62°, γ = 90.00°
Closest atoms and distances in Å follow each position.
Space group Cm (No. 8)
Unique sites:
Ac1 0.0000 0.0000 0.0000 x2  12 Ag 3.32-3.68, 4 Hg 3.38-3.63
Ag1 0.2019 0.5000 0.2466 x2  1 Hg 2.76, 4 Ag 2.85-2.99
Ag2 0.4992 0.2021 0.4942 x4  3 Ag 2.72-2.99, 2 Hg 2.90-3.04
Hg1 0.3078 0.0000 0.7726 x2  5 Ag 2.76-3.04

Output
total moment = 0.000 μB per formula unit
Fermi-level density of states = 0.523 states/eV per atom
E_form = -0.220 eV per atom
offset from the most stable computed form = 0 kJ/mol of formula units


Which formula does entry 6 have? AcAg3Hg


Which of these has the highest Fermi-level density of states? Ac2AgHg